[1]
A plane-wave DFT calculation with PBE-GGA was carried out for a relaxed structure of LaY6Er12.

## Properties
ΔE_f: 0.439 eV per atom
Magnetic moment: 0.0 μB per cell
Energy: -0.3486 Ry/atom
Volume: 34.15 A^3/atom
Symmetry: No. 166

Unit cell a=9.330 b=9.330 c=9.330 alpha=108.40 beta=108.40 gamma=108.40
Fractional positions:
Er (0.161, 0.372, 0.372)
Y (0.320, 0.750, 0.320)
Y (0.680, 0.680, 0.250)
Er (0.628, 0.839, 0.628)
Er (0.500, 0.109, 0.891)
Er (0.839, 0.628, 0.628)
Y (0.250, 0.680, 0.680)
Er (0.372, 0.161, 0.372)
Er (0.891, 0.109, 0.500)
Y (0.680, 0.250, 0.680)
Er (0.109, 0.500, 0.891)
Y (0.750, 0.320, 0.320)
La (0.000, 0.000, 0.000)
Er (0.500, 0.891, 0.109)
Er (0.109, 0.891, 0.500)
Er (0.628, 0.628, 0.839)
Y (0.320, 0.320, 0.750)
Er (0.372, 0.372, 0.161)
Er (0.891, 0.500, 0.109)

[2]
A plane-wave DFT calculation with PBE-GGA was carried out for a relaxed structure of Pu3SnSe6.

## Properties
Magnetic moment: 28.0 μB per cell
Energy: -0.5851 Ry/atom
Volume: 27.51 A^3/atom
Symmetry: No. 36
E_form (uncorrected): -1.170 eV/atom

Unit cell a=7.223 b=8.836 c=8.836 alpha=102.63 beta=90.00 gamma=90.00
Site moments in Bohr magnetons follow the coordinates.
Fractional positions:
Se (0.213, 0.446, 0.908)  -0.15
Se (0.111, 0.769, 0.231)  -0.20
Se (0.178, 0.371, 0.304)  -0.17
Se (0.213, 0.092, 0.554)  -0.15
Sn (0.006, 0.178, 0.822)  -0.04
Pu (0.479, 0.916, 0.714)  5.02
Se (0.243, 0.009, 0.991)  -0.14
Pu (0.884, 0.599, 0.401)  4.94
Pu (0.479, 0.286, 0.084)  5.02
Se (0.743, 0.991, 0.009)  -0.14
Se (0.178, 0.696, 0.629)  -0.17
Pu (0.384, 0.401, 0.599)  4.94
Sn (0.506, 0.822, 0.178)  -0.04
Se (0.678, 0.629, 0.696)  -0.17
Pu (0.979, 0.714, 0.916)  5.02
Se (0.611, 0.231, 0.769)  -0.20
Pu (0.979, 0.084, 0.286)  5.02
Se (0.713, 0.908, 0.446)  -0.15
Se (0.713, 0.554, 0.092)  -0.15
Se (0.678, 0.304, 0.371)  -0.17

[3]
A plane-wave DFT calculation with PBE-GGA was carried out for a relaxed structure of Sr2TeHIr.

## Properties
Magnetic moment: 0.0 μB per cell
Energy: -0.3129 Ry/atom
Volume: 25.25 A^3/atom
Symmetry: No. 123

Unit cell a=5.815 b=3.734 c=5.815 alpha=90.00 beta=90.00 gamma=90.00
Fractional positions:
H (0.000, 0.500, 0.000)
Ir (0.000, 0.000, 0.000)
Sr (0.000, 0.000, 0.500)
Sr (0.500, 0.000, 0.000)
Te (0.500, 0.500, 0.500)

Question: Which formula does entry 1 have?
Answer: LaY6Er12

Question: volume of number 1 (LaY6Er12)?
Answer: 34.15 A^3/atom